NaBiPdPt | PBE-GGA | relaxed

a b c (Å): 4.7861 4.7861 4.7861
angles (deg): 60.00 60.00 60.00
With the nearest neighbours (Å) after each atom.
Positions (direct):
Na (0.0000, 0.0000, 0.0000)  4 Pt 2.93, 4 Pd 2.93
Bi (0.5000, 0.5000, 0.5000)  4 Pd 2.93, 4 Pt 2.93
Pd (0.7500, 0.7500, 0.7500)  4 Bi 2.93, 4 Na 2.93
Pt (0.2500, 0.2500, 0.2500)  4 Bi 2.93, 4 Na 2.93

Results
Energy of formation from the pure elements = -19.83 kJ per mole of atoms

LaPmBr | PBE-GGA | relaxed

a b c (Å): 5.3449 5.3449 3.8466
angles (deg): 90.00 90.00 120.00
With the nearest neighbours (Å) after each atom.
Positions (direct):
La (0.0000, 0.0000, 0.0000)  6 Br 3.64, 6 Pm 3.64, 2 La 3.85
Pm (0.3333, 0.6667, 0.5000)  3 Br 3.09
Br (0.6667, 0.3333, 0.5000)  3 Pm 3.09

Results
Energy above the most stable polymorph in this dataset = 1.25 eV/f.u.

ZrPaIr2 | PBE-GGA | relaxed

a b c (Å): 3.2061 3.2061 7.4506
angles (deg): 90.00 90.00 90.00
With the nearest neighbours (Å) after each atom.
Positions (direct):
Zr (0.0000, 0.0000, 0.0000)  8 Ir 2.82
Pa (0.0000, 0.0000, 0.5000)  8 Ir 3.05, 4 Pa 3.21
Ir (0.5000, 0.5000, 0.2253)  4 Zr 2.82, 4 Pa 3.05
Ir (0.5000, 0.5000, 0.7747)  4 Zr 2.82, 4 Pa 3.05

Results
Energy of formation from the pure elements = -69.43 kJ per mole of atoms
Energy above the most stable polymorph in this dataset = 0.60 eV/f.u.

PdSeI | PBE-GGA | relaxed

a b c (Å): 4.2047 4.2132 5.5746
angles (deg): 99.54 99.55 114.92
With the nearest neighbours (Å) after each atom.
Positions (direct):
Pd (0.0000, 0.0000, 0.0000)  3 Se 2.49-2.51
Se (0.6466, 0.3542, 0.0000)  3 Pd 2.49-2.51
I (0.0618, 0.9334, 0.4997)  2 Pd 2.82-2.83, 2 Se 3.05-3.06

Results
Energy = -3.407 eV per atom

Ce2GaNi | PBE-GGA | relaxed

a b c (Å): 4.3672 4.3672 4.2733
angles (deg): 90.00 90.00 90.00
With the nearest neighbours (Å) after each atom.
Positions (direct):
Ce (0.0000, 0.5000, 0.0000)  4 Ni 3.06, 4 Ga 3.06, 4 Ce 3.09
Ce (0.5000, 0.0000, 0.0000)  4 Ni 3.06, 4 Ga 3.06, 4 Ce 3.09
Ga (0.0000, 0.0000, 0.5000)  8 Ce 3.06, 4 Ni 3.09
Ni (0.5000, 0.5000, 0.5000)  8 Ce 3.06, 4 Ga 3.09

Results
Energy of formation from the pure elements = -31.51 kJ per mole of atoms

Cu2NiW | PBE-GGA | relaxed

a b c (Å): 2.5674 4.0046 5.1614
angles (deg): 90.00 104.14 90.00
With the nearest neighbours (Å) after each atom.
Positions (direct):
Cu (0.0000, 0.0000, 0.0000)  2 Ni 2.46, 6 Cu 2.57-2.60, 2 W 2.57-2.75
Cu (0.3928, 0.5000, 0.7920)  3 Ni 2.54-2.78, 6 Cu 2.57-2.60, 4 W 2.82-2.84
Ni (0.1376, 0.5000, 0.2845)  3 Cu 2.46-2.54, 2 Ni 2.57, 4 W 2.58
W (0.7360, 0.0000, 0.4859)  2 W 2.57, 7 Cu 2.57-2.84, 4 Ni 2.58

Results
Energy of formation from the pure elements = 17.99 kJ per mole of atoms
Energy above the most stable polymorph in this dataset = 0.31 eV/f.u.

Li4Cd2Ga5 | PBE-GGA | relaxed

a b c (Å): 8.2740 2.9566 8.8990
angles (deg): 90.00 116.79 90.00
With the nearest neighbours (Å) after each atom.
Positions (direct):
Li (0.1874, 0.0000, 0.4539)  6 Ga 2.73-3.02, 2 Li 2.96, 2 Cd 3.05
Li (0.2334, 0.0000, 0.0062)  8 Ga 2.68-2.86, 2 Li 2.96, 2 Cd 2.98
Li (0.7666, 0.0000, 0.9938)  8 Ga 2.68-2.86, 2 Li 2.96, 2 Cd 2.98
Li (0.8126, 0.0000, 0.5461)  6 Ga 2.73-3.02, 2 Li 2.96, 2 Cd 3.05
Cd (0.4645, 0.5000, 0.3211)  3 Ga 2.87-3.17, 3 Cd 2.96-2.97, 4 Li 2.98-3.05
Cd (0.5355, 0.5000, 0.6789)  3 Ga 2.87-3.17, 3 Cd 2.96-2.97, 4 Li 2.98-3.05
Ga (0.0759, 0.5000, 0.1661)  4 Ga 2.64-2.96, 6 Li 2.73-2.75, 1 Cd 2.87
Ga (0.1682, 0.5000, 0.7085)  4 Ga 2.71-2.96, 6 Li 2.77-3.02
Ga (0.5000, 0.5000, 0.0000)  4 Li 2.68, 4 Ga 2.80-2.96
Ga (0.8318, 0.5000, 0.2915)  4 Ga 2.71-2.96, 6 Li 2.77-3.02
Ga (0.9241, 0.5000, 0.8339)  4 Ga 2.64-2.96, 6 Li 2.73-2.75, 1 Cd 2.87

Results
Energy of formation from the pure elements = -19.93 kJ per mole of atoms

Cs2MnBr7 | PBE-GGA | relaxed

a b c (Å): 8.1075 8.1075 8.1075
angles (deg): 117.78 117.78 93.89
With the nearest neighbours (Å) after each atom.
Positions (direct):
Cs (0.2500, 0.7500, 0.5000)  12 Br 4.09-4.19
Cs (0.7500, 0.2500, 0.5000)  12 Br 4.09-4.19
Mn (0.0000, 0.0000, 0.0000)  4 Br 2.43
Br (0.2051, 0.2051, 0.4103)  1 Mn 2.43
Br (0.2051, 0.7949, 0.0000)  1 Mn 2.43
Br (0.2673, 0.2673, 0.0000)  1 Br 2.58
Br (0.5000, 0.5000, 0.0000)  2 Br 2.58
Br (0.7327, 0.7327, 0.0000)  1 Br 2.58
Br (0.7949, 0.2051, 0.0000)  1 Mn 2.43
Br (0.7949, 0.7949, 0.5897)  1 Mn 2.43

Results
Energy = -3.264 eV per atom

La2UN4 | PBE-GGA | relaxed

a b c (Å): 6.2624 5.8217 6.9821
angles (deg): 90.00 109.98 90.00
With the nearest neighbours (Å) after each atom.
Positions (direct):
La (0.0880, 0.2500, 0.1330)  4 N 2.45-2.63
La (0.2820, 0.7500, 0.5485)  2 N 2.26-2.39
La (0.7180, 0.2500, 0.4515)  2 N 2.26-2.39
La (0.9120, 0.7500, 0.8670)  4 N 2.45-2.63
U (0.4983, 0.2500, 0.8528)  4 N 2.07-2.29
U (0.5017, 0.7500, 0.1472)  4 N 2.07-2.29
N (0.2006, 0.7500, 0.2075)  1 U 2.07, 1 La 2.26
N (0.2733, 0.5093, 0.8860)  2 U 2.13-2.36
N (0.2733, 0.9907, 0.8860)  2 U 2.13-2.36
N (0.3603, 0.2500, 0.5041)  1 U 2.29, 1 La 2.39
N (0.6397, 0.7500, 0.4959)  1 U 2.29, 1 La 2.39
N (0.7267, 0.0093, 0.1140)  2 U 2.13-2.36
N (0.7267, 0.4907, 0.1140)  2 U 2.13-2.36
N (0.7994, 0.2500, 0.7925)  1 U 2.07, 1 La 2.26

Results
Energy above the most stable polymorph in this dataset = 2.28 eV/f.u.

LaPr4Nd3Te8 | PBE-GGA | relaxed

a b c (Å): 9.0551 9.0551 9.0499
angles (deg): 119.97 119.97 60.04
With the nearest neighbours (Å) after each atom.
Positions (direct):
La (0.0000, 0.0000, 0.0000)  6 Te 3.21
Pr (0.0000, 0.0000, 0.5000)  6 Te 3.21
Pr (0.0000, 0.5000, 0.5000)  6 Te 3.21
Pr (0.5000, 0.0000, 0.5000)  6 Te 3.21
Pr (0.5000, 0.5000, 0.5000)  6 Te 3.19
Nd (0.0000, 0.5000, 0.0000)  6 Te 3.19
Nd (0.5000, 0.0000, 0.0000)  6 Te 3.19
Nd (0.5000, 0.5000, 0.0000)  6 Te 3.19
Te (0.2507, 0.2507, 0.2489)  2 Nd 3.19, 3 Pr 3.19-3.21, 1 La 3.21
Te (0.2509, 0.2509, 0.7526)  3 Nd 3.19, 3 Pr 3.21
Te (0.2506, 0.7475, 0.2489)  2 Nd 3.19, 3 Pr 3.19-3.21, 1 La 3.21
Te (0.2525, 0.7494, 0.7511)  2 Nd 3.19, 3 Pr 3.19-3.21, 1 La 3.21
Te (0.7475, 0.2506, 0.2489)  2 Nd 3.19, 3 Pr 3.19-3.21, 1 La 3.21
Te (0.7494, 0.2525, 0.7511)  2 Nd 3.19, 3 Pr 3.19-3.21, 1 La 3.21
Te (0.7491, 0.7491, 0.2474)  3 Nd 3.19, 3 Pr 3.21
Te (0.7493, 0.7493, 0.7511)  2 Nd 3.19, 3 Pr 3.19-3.21, 1 La 3.21

Results
Energy = -5.417 eV per atom

Cr2RuRh | PBE-GGA | relaxed

a b c (Å): 4.5193 4.5193 2.6627
angles (deg): 90.00 90.00 107.62
With the nearest neighbours (Å) after each atom.
Positions (direct):
Cr (0.0000, 0.5000, 0.0000)  4 Ru 2.62, 4 Rh 2.62, 4 Cr 2.66-2.67
Cr (0.5000, 0.0000, 0.0000)  4 Ru 2.62, 4 Rh 2.62, 4 Cr 2.66-2.67
Ru (0.0000, 0.0000, 0.5000)  8 Cr 2.62, 2 Ru 2.66, 2 Rh 2.67
Rh (0.5000, 0.5000, 0.5000)  8 Cr 2.62, 2 Rh 2.66, 2 Ru 2.67

Results
Energy of formation from the pure elements = 4.12 kJ per mole of atoms

ZrCu2Mo | PBE-GGA | relaxed

a b c (Å): 4.8130 4.8130 2.8208
angles (deg): 90.00 90.00 109.47
With the nearest neighbours (Å) after each atom.
Positions (direct):
Zr (0.0000, 0.0000, 0.0000)  2 Mo 2.78, 8 Cu 2.79, 2 Zr 2.82
Cu (0.0000, 0.5000, 0.5000)  4 Cu 2.78-2.82, 4 Zr 2.79, 4 Mo 2.79
Cu (0.5000, 0.0000, 0.5000)  4 Cu 2.78-2.82, 4 Zr 2.79, 4 Mo 2.79
Mo (0.5000, 0.5000, 0.0000)  2 Zr 2.78, 8 Cu 2.79, 2 Mo 2.82

Results
Energy of formation from the pure elements = 11.99 kJ per mole of atoms
Energy above the most stable polymorph in this dataset = 0.15 eV/f.u.

Nb3SBr7 | PBE-GGA | relaxed

a b c (Å): 7.2026 7.2026 7.0021
angles (deg): 90.00 90.00 120.00
With the nearest neighbours (Å) after each atom.
Positions (direct):
Nb (0.1985, 0.3970, 0.0000)  1 S 2.41, 2 Br 2.57
Nb (0.1985, 0.8015, 0.0000)  1 S 2.41, 2 Br 2.57
Nb (0.6030, 0.8015, 0.0000)  1 S 2.41, 2 Br 2.57
S (0.3333, 0.6667, 0.2472)  3 Nb 2.41
Br (0.0000, 0.0000, 0.8000)  3 Nb 2.84
Br (0.3362, 0.1681, 0.2055)  2 Nb 2.72
Br (0.5009, 0.0017, 0.7551)  2 Nb 2.57
Br (0.5009, 0.4991, 0.7551)  2 Nb 2.57
Br (0.8319, 0.1681, 0.2055)  2 Nb 2.72
Br (0.8319, 0.6638, 0.2055)  2 Nb 2.72
Br (0.9983, 0.4991, 0.7551)  2 Nb 2.57

Results
Energy = -5.170 eV per atom

HgBi3Pd4 | PBE-GGA | relaxed

a b c (Å): 6.6782 6.6782 6.6782
angles (deg): 126.79 75.70 130.40
With the nearest neighbours (Å) after each atom.
Positions (direct):
Hg (0.0000, 0.0000, 0.0000)  4 Pd 2.77-2.86
Bi (0.1610, 0.6610, 0.5000)  4 Pd 2.80-2.87, 2 Hg 3.12
Bi (0.2198, 0.4259, 0.7939)  6 Pd 2.82-3.00
Bi (0.6320, 0.4259, 0.2061)  6 Pd 2.82-3.00
Pd (0.2014, 0.9326, 0.2688)  5 Bi 2.84-3.00, 1 Hg 2.86, 2 Pd 2.97
Pd (0.5891, 0.3303, 0.7413)  1 Hg 2.77, 3 Bi 2.80-2.82, 4 Pd 2.89-3.10
Pd (0.5891, 0.8478, 0.2587)  1 Hg 2.77, 3 Bi 2.80-2.82, 4 Pd 2.89-3.10
Pd (0.6638, 0.9326, 0.7312)  5 Bi 2.84-3.00, 1 Hg 2.86, 2 Pd 2.97

Results
Energy of formation from the pure elements = -13.06 kJ per mole of atoms

YCdRh | PBE-GGA | relaxed

a b c (Å): 7.7034 7.7034 7.7034
angles (deg): 34.80 34.80 34.80
With the nearest neighbours (Å) after each atom.
Positions (direct):
Y (0.0000, 0.0000, 0.0000)  4 Rh 2.93-3.21, 3 Cd 3.10
Y (0.4482, 0.4482, 0.4482)  6 Rh 2.94-3.07, 1 Cd 3.14
Cd (0.2076, 0.2076, 0.2076)  3 Rh 2.70, 3 Cd 2.89
Cd (0.5929, 0.5929, 0.5929)  4 Rh 2.83-3.11, 3 Cd 2.89, 4 Y 3.10-3.14
Rh (0.7235, 0.7235, 0.7235)  1 Rh 2.79, 1 Cd 2.83, 6 Y 2.93-2.94
Rh (0.8522, 0.8522, 0.8522)  3 Cd 2.70, 1 Rh 2.79

Results
Energy of formation from the pure elements = -47.51 kJ per mole of atoms

Mg3NbPt | PBE-GGA | relaxed

a b c (Å): 5.1808 5.1808 5.1808
angles (deg): 90.00 90.00 90.00
With the nearest neighbours (Å) after each atom.
Positions (direct):
Mg (0.0000, 0.0000, 0.5000)  2 Nb 2.59
Mg (0.0000, 0.5000, 0.0000)  2 Nb 2.59
Mg (0.5000, 0.0000, 0.0000)  2 Nb 2.59
Nb (0.0000, 0.0000, 0.0000)  6 Mg 2.59
Pt (0.5000, 0.5000, 0.5000)  12 Mg 3.66

Results
Energy of formation from the pure elements = 142.99 kJ per mole of atoms
Energy above the most stable polymorph in this dataset = 5.50 eV/f.u.

Sc5TlCd4 | PBE-GGA | relaxed

a b c (Å): 3.5573 3.5573 17.6775
angles (deg): 90.00 90.00 90.00
With the nearest neighbours (Å) after each atom.
Positions (direct):
Sc (0.0000, 0.0000, 0.0000)  8 Cd 3.07
Sc (0.0000, 0.0000, 0.1989)  8 Cd 3.04-3.07
Sc (0.0000, 0.0000, 0.3964)  4 Cd 3.08, 4 Tl 3.11
Sc (0.0000, 0.0000, 0.6036)  4 Cd 3.08, 4 Tl 3.11
Sc (0.0000, 0.0000, 0.8011)  8 Cd 3.04-3.07
Tl (0.5000, 0.5000, 0.5000)  8 Sc 3.11
Cd (0.5000, 0.5000, 0.0997)  8 Sc 3.07
Cd (0.5000, 0.5000, 0.2959)  8 Sc 3.04-3.08
Cd (0.5000, 0.5000, 0.7041)  8 Sc 3.04-3.08
Cd (0.5000, 0.5000, 0.9003)  8 Sc 3.07

Results
Energy of formation from the pure elements = -27.87 kJ per mole of atoms

Be3CrCo4 | PBE-GGA | relaxed

a b c (Å): 3.7281 3.7281 5.3633
angles (deg): 90.00 90.00 90.00
With the nearest neighbours (Å) after each atom.
Positions (direct):
Be (0.0000, 0.0000, 0.0000)  8 Co 2.27
Be (0.0000, 0.0000, 0.5000)  8 Co 2.32
Be (0.5000, 0.5000, 0.0000)  8 Co 2.27
Cr (0.5000, 0.5000, 0.5000)  8 Co 2.32
Co (0.0000, 0.5000, 0.2411)  6 Be 2.27-2.32, 2 Cr 2.32
Co (0.0000, 0.5000, 0.7589)  6 Be 2.27-2.32, 2 Cr 2.32
Co (0.5000, 0.0000, 0.2411)  6 Be 2.27-2.32, 2 Cr 2.32
Co (0.5000, 0.0000, 0.7589)  6 Be 2.27-2.32, 2 Cr 2.32

Results
Energy of formation from the pure elements = -24.22 kJ per mole of atoms

CeDy3Sb4 | PBE-GGA | relaxed

a b c (Å): 7.6419 7.6419 7.6419
angles (deg): 131.78 131.78 70.58
With the nearest neighbours (Å) after each atom.
Positions (direct):
Ce (0.0000, 0.0000, 0.0000)  6 Sb 3.12-3.14
Dy (0.2500, 0.7500, 0.5000)  6 Sb 3.12
Dy (0.5000, 0.5000, 0.0000)  6 Sb 3.10-3.12
Dy (0.7500, 0.2500, 0.5000)  6 Sb 3.12
Sb (0.0000, 0.5000, 0.5000)  4 Dy 3.12, 2 Ce 3.12
Sb (0.2513, 0.2513, 0.0000)  5 Dy 3.10-3.12, 1 Ce 3.14
Sb (0.5000, 0.0000, 0.5000)  4 Dy 3.12, 2 Ce 3.12
Sb (0.7487, 0.7487, 0.0000)  5 Dy 3.10-3.12, 1 Ce 3.14

Results
Energy = -5.636 eV per atom

PmTe7Pb5 | PBE-GGA | relaxed

a b c (Å): 8.0697 8.0697 26.6689
angles (deg): 90.36 90.36 32.68
With the nearest neighbours (Å) after each atom.
Positions (direct):
Pm (0.0000, 0.0000, 0.0000)  7 Te 3.10-3.33
Pm (0.5990, 0.5990, 0.5006)  7 Te 3.21-3.36
Te (0.0146, 0.0146, 0.4221)  3 Pb 3.15-3.32, 2 Pm 3.35
Te (0.1595, 0.1595, 0.7767)  6 Pb 3.20-3.33
Te (0.1848, 0.1848, 0.1985)  6 Pb 3.19-3.39
Te (0.2424, 0.2424, 0.4849)  2 Pb 3.07-3.13, 2 Pm 3.21
Te (0.3667, 0.3667, 0.9835)  2 Pb 3.08-3.11, 2 Pm 3.10
Te (0.4362, 0.4362, 0.7048)  5 Pb 3.08-3.33
Te (0.4618, 0.4618, 0.2729)  5 Pb 3.08-3.32
Te (0.6152, 0.6152, 0.9384)  1 Te 2.85
Te (0.6320, 0.6320, 0.0449)  1 Te 2.85
Te (0.6941, 0.6941, 0.6141)  4 Pb 3.20-3.27, 1 Pm 3.36
Te (0.7399, 0.7399, 0.3448)  5 Pb 3.07-3.25
Te (0.8852, 0.8852, 0.8482)  5 Pb 3.16-3.31
Te (0.9247, 0.9247, 0.1134)  4 Pb 3.17-3.33, 1 Pm 3.25
Te (0.9826, 0.9826, 0.5578)  3 Pb 3.11-3.28, 2 Pm 3.28
Pb (0.0742, 0.0742, 0.6618)  6 Te 3.11-3.33
Pb (0.1007, 0.1007, 0.3155)  6 Te 3.15-3.39
Pb (0.2590, 0.2590, 0.8848)  4 Te 3.11-3.26
Pb (0.2880, 0.2880, 0.0891)  4 Te 3.08-3.34
Pb (0.3381, 0.3381, 0.5859)  5 Te 3.07-3.28
Pb (0.3664, 0.3664, 0.3926)  5 Te 3.13-3.32
Pb (0.5249, 0.5249, 0.8085)  5 Te 3.08-3.31
Pb (0.5491, 0.5491, 0.1695)  5 Te 3.08-3.33
Pb (0.8003, 0.8003, 0.7401)  5 Te 3.16-3.30
Pb (0.8213, 0.8213, 0.2402)  5 Te 3.07-3.29

Results
Energy = -4.029 eV per atom

ReH3I | PBE-GGA | relaxed

a b c (Å): 4.1323 4.1323 4.1323
angles (deg): 90.00 90.00 90.00
With the nearest neighbours (Å) after each atom.
Positions (direct):
Re (0.0000, 0.0000, 0.0000)  12 H 2.92
H (0.0000, 0.5000, 0.5000)  2 I 2.07
H (0.5000, 0.0000, 0.5000)  2 I 2.07
H (0.5000, 0.5000, 0.0000)  2 I 2.07
I (0.5000, 0.5000, 0.5000)  6 H 2.07

Results
Energy above the most stable polymorph in this dataset = 5.54 eV/f.u.

CuNi2Hg | PBE-GGA | relaxed

a b c (Å): 4.2526 4.2526 4.2526
angles (deg): 60.00 60.00 60.00
With the nearest neighbours (Å) after each atom.
Positions (direct):
Cu (0.0000, 0.0000, 0.0000)  4 Ni 2.60, 4 Hg 2.60
Ni (0.5000, 0.5000, 0.5000)  4 Hg 2.60, 4 Ni 2.60
Ni (0.7500, 0.7500, 0.7500)  4 Cu 2.60, 4 Ni 2.60
Hg (0.2500, 0.2500, 0.2500)  4 Ni 2.60, 4 Cu 2.60

Results
Energy of formation from the pure elements = 21.09 kJ per mole of atoms

BaMnIn2I6 | PBE-GGA | relaxed

a b c (Å): 8.7609 8.7609 8.7609
angles (deg): 57.85 57.85 57.85
With the nearest neighbours (Å) after each atom.
Positions (direct):
Ba (0.0000, 0.0000, 0.0000)  6 I 3.44-3.51
Mn (0.4979, 0.4979, 0.4979)  6 I 2.90-2.97
In (0.2981, 0.2981, 0.2981)  6 I 3.45-3.57
In (0.8026, 0.8026, 0.8026)  6 I 3.46-3.55
I (0.1513, 0.7031, 0.3884)  1 Mn 2.97
I (0.2613, 0.6127, 0.8345)  1 Mn 2.90
I (0.3884, 0.1513, 0.7031)  1 Mn 2.97
I (0.6127, 0.8345, 0.2613)  1 Mn 2.90
I (0.7031, 0.3884, 0.1513)  1 Mn 2.97
I (0.8345, 0.2613, 0.6127)  1 Mn 2.90

Results
Energy = -3.383 eV per atom

ScPaAl2 | PBE-GGA | relaxed

a b c (Å): 4.4585 4.4585 4.2789
angles (deg): 90.00 90.00 90.00
With the nearest neighbours (Å) after each atom.
Positions (direct):
Sc (0.0000, 0.0000, 0.0000)  8 Al 3.09, 4 Pa 3.15
Pa (0.5000, 0.5000, 0.0000)  8 Al 3.09, 4 Sc 3.15
Al (0.0000, 0.5000, 0.5000)  4 Sc 3.09, 4 Pa 3.09, 4 Al 3.15
Al (0.5000, 0.0000, 0.5000)  4 Sc 3.09, 4 Pa 3.09, 4 Al 3.15

Results
Energy of formation from the pure elements = -16.79 kJ per mole of atoms
Energy above the most stable polymorph in this dataset = 0.48 eV/f.u.